{"formula": "HfZnNiPt", "functional": "PBE", "state": "relaxed", "total_energy_ev_per_atom": -6.438, "vol_a3_per_atom": 15.22, "delta_e_f_ev_per_atom": -0.675, "cell": [[4.0194, 0.0000, 0.0000], [0.0000, 4.0194, 0.0000], [0.0000, 0.0000, 7.5389]], "species": ["Hf", "Hf", "Zn", "Zn", "Ni", "Ni", "Pt", "Pt"], "frac_coords": [[0.0000, 0.0000, 0.0000], [0.5000, 0.5000, 0.5000], [0.0000, 0.0000, 0.5000], [0.5000, 0.5000, 0.0000], [0.0000, 0.5000, 0.7500], [0.5000, 0.0000, 0.2500], [0.0000, 0.5000, 0.2500], [0.5000, 0.0000, 0.7500]]}